Entry 1:
An optimized crystal structure of SrPt2Br, computed with PBE-GGA.

Computed properties:
N(E_F) = 2.1 states/eV per cell
Crystal system = orthorhombic
Relative energy among the computed polymorphs = 29.9 kJ/mol of atoms
Space-group type = Imm2 (44)
E_form (uncorrected) = -385 meV per atom
Total DFT energy (no corrections) = -4.24 eV/atom

The structure in POSCAR format:
```
SrPt2Br
1.0
5.489 -0.034 0.010
1.067 5.384 -0.010
-2.706 -3.376 3.378
Sr Br Pt
1 1 2
Direct
0.503 0.503 0.000
0.207 0.707 0.500
0.973 0.973 0.000
0.818 0.318 0.500
```

***

Entry 2:
An optimized crystal structure of La3DyEr2Bi6, computed with PBE-GGA.

Computed properties:
N(E_F) = 2.3 states/eV per cell
Crystal system = monoclinic
Space-group type = C2/m (12)
Total DFT energy (no corrections) = -5.26 eV/atom

The structure in POSCAR format:
```
La3DyEr2Bi6
1.0
-3.684 -5.020 -4.946
-0.487 -1.092 7.862
-4.715 6.304 -0.756
La Dy Er Bi
3 1 2 6
Direct
0.166 0.834 0.500
0.834 0.166 0.500
0.500 0.500 0.500
0.000 0.000 0.000
0.333 0.667 0.000
0.667 0.333 0.000
0.921 0.587 0.764
0.744 0.744 0.236
0.079 0.413 0.236
0.587 0.921 0.764
0.256 0.256 0.764
0.413 0.079 0.236
```

***

Entry 3:
An optimized crystal structure of TbCuI4, computed with PBE-GGA.

Computed properties:
Crystal system = monoclinic
Space-group type = C2/m (12)
E_form (uncorrected) = -890 meV per atom
Total DFT energy (no corrections) = -3.38 eV/atom

The structure in POSCAR format:
```
TbCuI4
1.0
4.208 0.000 0.000
-2.104 8.529 0.724
0.000 -3.748 6.539
Tb Cu I
1 1 4
Direct
0.500 0.000 0.500
0.000 0.000 0.000
0.403 0.805 0.056
0.124 0.248 0.476
0.597 0.195 0.944
0.876 0.752 0.524
```

***

Entry 4:
An optimized crystal structure of K2RePt, computed with PBE-GGA.

Computed properties:
N(E_F) = 2.5 states/eV per cell
Crystal system = tetragonal
Relative energy among the computed polymorphs = 77.4 kJ/mol of atoms
Space-group type = I-4m2 (119)
Total DFT energy (no corrections) = -3.87 eV/atom

The structure in POSCAR format:
```
K2RePt
1.0
-2.935 3.105 2.937
-4.100 -3.063 -0.832
4.391 -1.994 1.905
K Pt Re
2 1 1
Direct
0.000 0.000 0.000
0.250 0.750 0.500
0.500 0.500 0.000
0.750 0.250 0.500
```

***

Entry 5:
An optimized crystal structure of Rb3SrIn, computed with PBE-GGA.

Computed properties:
N(E_F) = 4.3 states/eV per cell
Crystal system = cubic
Relative energy among the computed polymorphs = 0.0 kJ/mol of atoms
Space-group type = Pm-3m (221)
Total DFT energy (no corrections) = -1.22 eV/atom

The structure in POSCAR format:
```
Rb3SrIn
1.0
-6.637 2.664 -0.466
-0.988 -1.240 6.990
2.518 6.537 1.515
Sr Rb In
1 3 1
Direct
0.500 0.500 0.500
0.000 0.500 0.000
0.000 0.000 0.500
0.500 0.000 0.000
0.000 0.000 0.000
```

***

Entry 6:
An optimized crystal structure of KMn, computed with PBE-GGA.

Computed properties:
N(E_F) = 10.3 states/eV per cell
Crystal system = cubic
Relative energy among the computed polymorphs = 61.5 kJ/mol of atoms
Space-group type = Fm-3m (225)
Total DFT energy (no corrections) = -3.75 eV/atom

The structure in POSCAR format:
```
KMn
1.0
-2.518 -3.477 -5.525
-5.503 -2.055 3.802
-3.512 5.713 -1.995
K Mn
4 4
Direct
0.000 0.000 0.000
0.000 0.500 0.500
0.500 0.000 0.500
0.500 0.500 0.000
0.500 0.500 0.500
0.500 0.000 0.000
0.000 0.500 0.000
0.000 0.000 0.500
```